Record 1
Entry from Alexandria: a relaxed TmHf2Zr crystal (PBE).

Summary:
Its formation energy is 9 kJ/mol of atoms. The energy above the most stable polymorph in this dataset comes out at 0.000 eV per formula unit.

a b c (Å): 10.6551 10.6551 10.6551
angles (deg): 17.60 17.60 17.60
Element x y z (fractional)
Tm (0.0000, 0.0000, 0.0000)
Hf (0.5801, 0.5801, 0.5801)
Hf (0.7534, 0.7534, 0.7534)
Zr (0.1664, 0.1664, 0.1664)

Record 2
Entry from Alexandria: a relaxed RbNa3Sc crystal (PBE).

Summary:
Its formation energy is 59 kJ/mol of atoms. The energy above the most stable polymorph in this dataset comes out at 0.000 eV per formula unit.

a b c (Å): 6.5192 6.5192 6.5192
angles (deg): 90.00 90.00 90.00
Element x y z (fractional)
Rb (0.0000, 0.0000, 0.0000)
Na (0.0000, 0.5000, 0.5000)
Na (0.5000, 0.0000, 0.5000)
Na (0.5000, 0.5000, 0.0000)
Sc (0.5000, 0.5000, 0.5000)

Record 3
Entry from Alexandria: a relaxed ScTl2Br crystal (PBE).

Summary:
The energy above the most stable polymorph in this dataset comes out at 1.831 eV per formula unit.

a b c (Å): 3.6034 3.6034 9.7087
angles (deg): 90.00 90.00 117.48
Element x y z (fractional)
Sc (0.0000, 0.0000, 0.0000)
Tl (0.5000, 0.5000, 0.2490)
Tl (0.5000, 0.5000, 0.7510)
Br (0.0000, 0.0000, 0.5000)

Record 4
Entry from Alexandria: a relaxed Tb2Sc8Tl crystal (PBE).

Summary:
Its formation energy is 9 kJ/mol of atoms.

a b c (Å): 7.9687 7.9687 6.4109
angles (deg): 103.53 103.53 46.14
Element x y z (fractional)
Tb (0.1947, 0.1947, 0.4251)
Tb (0.8053, 0.8053, 0.5749)
Sc (0.1852, 0.6500, 0.2971)
Sc (0.2325, 0.2325, 0.9814)
Sc (0.3500, 0.8148, 0.7029)
Sc (0.4048, 0.4048, 0.8067)
Sc (0.5952, 0.5952, 0.1933)
Sc (0.6500, 0.1852, 0.2971)
Sc (0.7675, 0.7675, 0.0186)
Sc (0.8148, 0.3500, 0.7029)
Tl (0.0000, 0.0000, 0.0000)

Record 5
Entry from Alexandria: a relaxed Tb2ThV crystal (PBE).

Summary:
Its formation energy is 58 kJ/mol of atoms.

a b c (Å): 11.5506 11.5506 11.5506
angles (deg): 16.99 16.99 16.99
Element x y z (fractional)
Tb (0.0825, 0.0825, 0.0825)
Tb (0.9175, 0.9175, 0.9175)
Th (0.5000, 0.5000, 0.5000)
V (0.0000, 0.0000, 0.0000)

Record 6
Entry from Alexandria: a relaxed DyB2Ru3 crystal (PBE).

Summary:
Its formation energy is -24 kJ/mol of atoms. The energy above the most stable polymorph in this dataset comes out at 1.307 eV per formula unit.

a b c (Å): 8.8173 8.8173 3.5816
angles (deg): 90.00 90.00 120.00
Element x y z (fractional)
Dy (0.0000, 0.0000, 0.0000)
Dy (0.3333, 0.6667, 0.5000)
Dy (0.6667, 0.3333, 0.5000)
B (0.1926, 0.3852, 0.0000)
B (0.1926, 0.8074, 0.0000)
B (0.3852, 0.1926, 0.0000)
B (0.6148, 0.8074, 0.0000)
B (0.8074, 0.1926, 0.0000)
B (0.8074, 0.6148, 0.0000)
Ru (0.0000, 0.2839, 0.5000)
Ru (0.0000, 0.5000, 0.0000)
Ru (0.0000, 0.7161, 0.5000)
Ru (0.2839, 0.0000, 0.5000)
Ru (0.2839, 0.2839, 0.5000)
Ru (0.5000, 0.0000, 0.0000)
Ru (0.5000, 0.5000, 0.0000)
Ru (0.7161, 0.0000, 0.5000)
Ru (0.7161, 0.7161, 0.5000)